(1)
Below is an optimized crystal structure of YTm4Pb5, with properties calculated at the PBE level.

Computed properties:
N(E_F) in states/eV per cell: 7.9
ΔE to the lowest computed polymorph in meV per atom: 0.0
ΔH_f (0 K) in eV per atom: -0.387
Calculated total energy in eV per atom: -4.676
Crystal system: tetragonal

```
data_YTm4Pb5
_chemical_formula_sum 'Y1 Tm4 Pb5'
_symmetry_space_group_name_H-M 'P 4/m m m'
_symmetry_Int_Tables_number 123
_symmetry_space_group_name_Hall '-P 4 2'
_cell_length_a 3.5502
_cell_length_b 3.5502
_cell_length_c 22.0387
_cell_angle_alpha 90.00
_cell_angle_beta 90.00
_cell_angle_gamma 90.00
loop_
_atom_site_label
_atom_site_type_symbol
_atom_site_fract_x
_atom_site_fract_y
_atom_site_fract_z
Y1 Y 0.0000 0.0000 0.0000
Tm1 Tm 0.0000 0.0000 0.2010
Tm2 Tm 0.0000 0.0000 0.4004
Pb1 Pb 0.5000 0.5000 0.1018
Pb2 Pb 0.5000 0.5000 0.3008
Pb3 Pb 0.5000 0.5000 0.5000
```

***

(2)
Below is an optimized crystal structure of InMo2Cl, with properties calculated at the PBE level.

Computed properties:
Formation energy from raw total energies in meV per atom: 718
N(E_F) in states/eV per cell: 7.7
ΔE to the lowest computed polymorph in meV per atom: 597.0
Calculated total energy in eV per atom: -5.843
Crystal system: monoclinic

```
data_InMo2Cl
_chemical_formula_sum 'In2 Mo4 Cl2'
_symmetry_space_group_name_H-M 'C 1 2/m 1'
_symmetry_Int_Tables_number 12
_cell_length_a 5.4985
_cell_length_b 10.2533
_cell_length_c 3.2052
_cell_angle_alpha 90.00
_cell_angle_beta 124.75
_cell_angle_gamma 90.00
loop_
_symmetry_equiv_pos_as_xyz
'x,y,z'
'-x,-y,-z'
'-x,y,-z'
'x,-y,z'
'x+1/2,y+1/2,z'
'-x+1/2,-y+1/2,-z'
'-x+1/2,y+1/2,-z'
'x+1/2,-y+1/2,z'
loop_
_atom_site_label
_atom_site_type_symbol
_atom_site_fract_x
_atom_site_fract_y
_atom_site_fract_z
In1 In 0.0000 0.0000 0.0000
Mo1 Mo 0.2500 0.2500 0.5000
Cl1 Cl 0.0000 0.5000 0.0000
```

***

(3)
Below is an optimized crystal structure of Mg6AlCu, with properties calculated at the PBE level.

Computed properties:
N(E_F) in states/eV per cell: 6.4
ΔH_f (0 K) in eV per atom: 0.029
Calculated total energy in eV per atom: -2.147
Crystal system: orthorhombic

```
data_Mg6AlCu
_chemical_formula_sum 'Mg12 Al2 Cu2'
_symmetry_space_group_name_H-M 'A m m 2'
_symmetry_Int_Tables_number 38
_cell_length_a 4.9292
_cell_length_b 6.3458
_cell_length_c 10.2199
_cell_angle_alpha 90.00
_cell_angle_beta 90.00
_cell_angle_gamma 90.00
loop_
_symmetry_equiv_pos_as_xyz
'x,y,z'
'-x,-y,z'
'-x,y,z'
'x,-y,z'
'x,y+1/2,z+1/2'
'-x,-y+1/2,z+1/2'
'-x,y+1/2,z+1/2'
'x,-y+1/2,z+1/2'
loop_
_atom_site_label
_atom_site_type_symbol
_atom_site_fract_x
_atom_site_fract_y
_atom_site_fract_z
Mg1 Mg 0.0000 0.0000 0.0000
Mg2 Mg 0.0000 0.0000 0.5001
Mg3 Mg 0.0000 0.2431 0.2570
Mg4 Mg 0.5000 0.2501 0.0770
Al1 Al 0.5000 0.0000 0.8283
Cu1 Cu 0.5000 0.0000 0.3330
```

***

(4)
Below is an optimized crystal structure of TeSeS2, with properties calculated at the PBE level.

Computed properties:
Formation energy from raw total energies in meV per atom: 331
N(E_F) in states/eV per cell: 6.3
ΔE to the lowest computed polymorph in meV per atom: 245.0
Calculated total energy in eV per atom: -3.389
Crystal system: trigonal

```
data_TeSeS2
_chemical_formula_sum 'Te3 Se3 S6'
_symmetry_space_group_name_H-M 'R -3 m'
_symmetry_Int_Tables_number 166
_symmetry_space_group_name_Hall '-R 3 2"'
_cell_length_a 3.9965
_cell_length_b 3.9965
_cell_length_c 23.7473
_cell_angle_alpha 90.00
_cell_angle_beta 90.00
_cell_angle_gamma 120.00
loop_
_atom_site_label
_atom_site_type_symbol
_atom_site_fract_x
_atom_site_fract_y
_atom_site_fract_z
Te1 Te 0.0000 0.0000 0.0000
Se1 Se 0.0000 0.0000 0.5000
S1 S 0.0000 0.0000 0.4003
```

***

> What is the N(E_F) in the third record?

6.4 states/eV per cell